Below is a relaxed structure of PmCu2OsO6, with properties calculated at the PBE level.

```
PmCu2OsO6
1.0
5.3888 -0.0004 -0.0017
-2.6944 4.6686 0.0006
-2.6933 -1.5548 5.0242
Pm Cu Os O
1 2 1 6
direct
0.9966 0.4978 0.4803
0.4893 0.7442 0.2197
0.5034 0.2511 0.7404
0.9966 0.9978 0.9803
0.5562 0.9242 0.7558
0.4370 0.0714 0.2049
0.8545 0.7822 0.2048
0.1476 0.3645 0.2048
0.8456 0.6311 0.7558
0.1388 0.2135 0.7558
```

Values from the calculation:
DOS at the Fermi energy in states/eV per atom: 0.415
Symmetry: R-3 (148)
Energy relative to the elements, uncorrected in eV/f.u.: -13.91